[1]
Pm2GaNi4As3 (PBE, relaxed); E_tot = -5.773 eV per atom; formation energy from the elements = -0.813 eV per atom; total moment = 0.00 μB per formula unit
1.0
4.096 0.000 0.000
0.000 4.096 0.000
0.000 0.000 9.861
Pm Ga Ni As
2 1 4 3
Direct
0.000 0.500 0.245
0.500 0.000 0.755
0.000 0.000 0.500
0.000 0.000 0.000
0.000 0.500 0.629
0.500 0.000 0.371
0.500 0.500 0.000
0.000 0.500 0.868
0.500 0.000 0.132
0.500 0.500 0.500

[2]
Ga2Ni7As2Pt (PBE, relaxed); E_tot = -5.221 eV per atom; formation energy from the elements = -0.065 eV per atom; total moment = 1.51 μB per formula unit
1.0
2.466 -2.466 0.000
2.466 2.466 0.000
-2.419 0.000 13.804
Ga Ni As Pt
2 7 2 1
Direct
0.131 0.131 0.265
0.869 0.869 0.735
0.000 0.000 0.000
0.068 0.568 0.139
0.223 0.223 0.445
0.432 0.932 0.861
0.568 0.068 0.139
0.777 0.777 0.555
0.932 0.432 0.861
0.305 0.305 0.613
0.695 0.695 0.387
0.500 0.500 0.000

[3]
GaNi7Sb2As2 (PBE, relaxed); E_tot = -5.331 eV per atom; E_form (uncorrected) = -244 meV/atom; total moment = 0.00 μB per formula unit
1.0
-1.812 1.812 14.264
1.812 -1.812 14.264
1.812 1.812 -14.264
Ga Ni Sb As
1 7 2 2
Direct
0.000 0.000 0.000
0.063 0.563 0.500
0.304 0.304 0.000
0.437 0.937 0.500
0.500 0.500 0.000
0.563 0.063 0.500
0.696 0.696 0.000
0.937 0.437 0.500
0.212 0.212 0.000
0.788 0.788 0.000
0.386 0.386 0.000
0.614 0.614 0.000

[4]
Sc2GaNiAs (PBE, relaxed); E_tot = -4.983 eV per atom; formation energy from the elements = 0.242 eV per atom; total moment = 0.00 μB per formula unit
1.0
4.997 0.000 0.000
0.000 4.997 0.000
0.000 0.000 4.683
Sc Ga Ni As
2 1 1 1
Direct
0.000 0.500 0.000
0.500 0.000 0.000
0.000 0.000 0.500
0.500 0.500 0.500
0.000 0.000 0.000